[1]
VASP calculation (PBE) on crystalline TmCuSbRh at its relaxed geometry.

Cell: 4.676 4.676 4.676 Å, 60.00 60.00 60.00°
Fractional positions:
Tm: 0.000 0.000 0.000
Cu: 0.750 0.750 0.750
Sb: 0.500 0.500 0.500
Rh: 0.250 0.250 0.250

N(E_F)	0.3585	states/eV per atom
total moment	0.0	μB per cell
formation energy (no corrections)	-2.22	eV per formula unit
symmetry	F-43m
calculated volume	72.3	Å³ per cell
theoretical density	10.50	g cm⁻³

***

[2]
VASP calculation (PBE) on crystalline UCuSbRh at its relaxed geometry.

Cell: 4.733 4.733 4.733 Å, 60.00 60.00 60.00°
Fractional positions:
U: 0.000 0.000 0.000
Cu: 0.250 0.250 0.250
Sb: 0.500 0.500 0.500
Rh: 0.750 0.750 0.750

N(E_F)	1.7819	states/eV per atom
total moment	1.8	μB per cell
formation energy (no corrections)	-0.88	eV per formula unit
symmetry	F-43m
calculated volume	75.0	Å³ per cell
theoretical density	11.66	g cm⁻³

***

[3]
VASP calculation (PBE) on crystalline Sc2CuRh at its relaxed geometry.

Cell: 5.317 5.317 5.317 Å, 137.15 137.15 62.21°
Fractional positions:
Sc: 0.000 0.000 0.000
Sc: 0.750 0.250 0.500
Cu: 0.250 0.750 0.500
Rh: 0.500 0.500 0.000

N(E_F)	0.9715	states/eV per atom
total moment	0.0	μB per cell
symmetry	I-4m2
calculated volume	68.7	Å³ per cell
theoretical density	6.19	g cm⁻³
E_form	-452	meV/atom

***

[4]
VASP calculation (PBE) on crystalline Sc2CuRh4 at its relaxed geometry.

Cell: 9.156 9.156 9.156 Å, 156.52 156.52 33.45°
Fractional positions:
Sc: 0.107 0.107 0.000
Sc: 0.893 0.893 0.000
Cu: 0.500 0.500 0.000
Rh: 0.250 0.750 0.500
Rh: 0.360 0.360 0.000
Rh: 0.640 0.640 0.000
Rh: 0.750 0.250 0.500

N(E_F)	1.1187	states/eV per atom
total moment	0.0	μB per cell
symmetry	I4/mmm
calculated volume	121.7	Å³ per cell
theoretical density	7.71	g cm⁻³
E_form	-303	meV/atom

***

[5]
VASP calculation (PBE) on crystalline ScCu2Rh at its relaxed geometry.

Cell: 5.261 5.261 2.937 Å, 103.40 103.40 122.54°
Fractional positions:
Sc: 0.000 0.000 0.000
Cu: 0.000 0.500 0.500
Cu: 0.500 0.000 0.500
Rh: 0.500 0.500 0.000

N(E_F)	0.5020	states/eV per atom
total moment	0.0	μB per cell
symmetry	C2/m
calculated volume	60.0	Å³ per cell
theoretical density	7.60	g cm⁻³
E_form	-203	meV/atom

***

[6]
VASP calculation (PBE) on crystalline Sc2CuRh at its relaxed geometry.

Cell: 7.486 7.486 7.486 Å, 155.27 151.11 38.39°
Fractional positions:
Sc: 0.168 0.168 0.000
Sc: 0.832 0.832 0.000
Cu: 0.500 0.500 0.000
Rh: 0.000 0.000 0.000

N(E_F)	1.1609	states/eV per atom
total moment	0.0	μB per cell
symmetry	Immm
calculated volume	84.7	Å³ per cell
theoretical density	5.03	g cm⁻³
E_form	66	meV/atom

***

[7]
VASP calculation (PBE) on crystalline Sc3CuRh at its relaxed geometry.

Cell: 4.968 4.968 4.968 Å, 90.00 90.00 90.00°
Fractional positions:
Sc: 0.000 0.000 0.500
Sc: 0.000 0.500 0.000
Sc: 0.500 0.000 0.000
Cu: 0.500 0.500 0.500
Rh: 0.000 0.000 0.000

N(E_F)	0.6511	states/eV per atom
total moment	0.0	μB per cell
symmetry	Pm-3m
calculated volume	122.7	Å³ per cell
energy above the lowest structure with this stoichiometry	493	meV/atom
theoretical density	4.08	g cm⁻³
E_form	-5	meV/atom

***

[8]
VASP calculation (PBE) on crystalline Sc3CuRh at its relaxed geometry.

Cell: 4.808 4.808 4.808 Å, 90.00 90.00 90.00°
Fractional positions:
Sc: 0.000 0.000 0.500
Sc: 0.000 0.500 0.000
Sc: 0.500 0.000 0.000
Cu: 0.000 0.000 0.000
Rh: 0.500 0.500 0.500

N(E_F)	1.2375	states/eV per atom
total moment	0.0	μB per cell
symmetry	Pm-3m
calculated volume	111.2	Å³ per cell
energy above the lowest structure with this stoichiometry	742	meV/atom
theoretical density	4.50	g cm⁻³
E_form	243	meV/atom

***

[9]
VASP calculation (PBE) on crystalline Sc6Cu5Rh at its relaxed geometry.

Cell: 4.592 6.516 7.291 Å, 90.00 108.24 90.00°
Fractional positions:
Sc: 0.000 0.247 0.000
Sc: 0.000 0.753 0.000
Sc: 0.335 0.249 0.669
Sc: 0.335 0.751 0.669
Sc: 0.665 0.249 0.331
Sc: 0.665 0.751 0.331
Cu: 0.163 0.500 0.328
Cu: 0.167 0.000 0.335
Cu: 0.500 0.500 0.000
Cu: 0.833 0.000 0.665
Cu: 0.837 0.500 0.672
Rh: 0.500 0.000 0.000

N(E_F)	0.7767	states/eV per atom
total moment	0.0	μB per cell
symmetry	P2/m
calculated volume	207.2	Å³ per cell
theoretical density	5.53	g cm⁻³
E_form	-403	meV/atom

***

[10]
VASP calculation (PBE) on crystalline ScCu2Rh at its relaxed geometry.

Cell: 4.368 4.368 4.368 Å, 60.00 60.00 60.00°
Fractional positions:
Sc: 0.000 0.000 0.000
Cu: 0.500 0.500 0.500
Cu: 0.750 0.750 0.750
Rh: 0.250 0.250 0.250

N(E_F)	0.3115	states/eV per atom
total moment	0.0	μB per cell
symmetry	F-43m
calculated volume	58.9	Å³ per cell
theoretical density	7.75	g cm⁻³
E_form	-349	meV/atom

***

[11]
VASP calculation (PBE) on crystalline Sc6Cu2Rh at its relaxed geometry.

Cell: 7.733 7.733 7.733 Å, 110.78 110.70 106.96°
Fractional positions:
Sc: 0.061 0.240 0.821
Sc: 0.219 0.545 0.327
Sc: 0.219 0.892 0.673
Sc: 0.307 0.243 0.550
Sc: 0.307 0.757 0.064
Sc: 0.419 0.240 0.179
Sc: 0.581 0.760 0.821
Sc: 0.693 0.243 0.936
Sc: 0.693 0.757 0.450
Sc: 0.781 0.108 0.327
Sc: 0.781 0.455 0.673
Sc: 0.939 0.760 0.179
Cu: 0.000 0.131 0.131
Cu: 0.000 0.869 0.869
Cu: 0.142 0.500 0.642
Cu: 0.858 0.500 0.358
Rh: 0.500 0.000 0.500
Rh: 0.500 0.500 0.000

N(E_F)	0.9487	states/eV per atom
total moment	0.0	μB per cell
symmetry	Immm
calculated volume	355.5	Å³ per cell
theoretical density	4.67	g cm⁻³
E_form	-347	meV/atom

***

[12]
VASP calculation (PBE) on crystalline Sc4Cu2Rh at its relaxed geometry.

Cell: 7.813 7.813 7.813 Å, 34.05 34.05 34.05°
Fractional positions:
Sc: 0.122 0.122 0.122
Sc: 0.374 0.374 0.374
Sc: 0.626 0.626 0.626
Sc: 0.878 0.878 0.878
Cu: 0.245 0.245 0.245
Cu: 0.755 0.755 0.755
Rh: 0.500 0.500 0.500

N(E_F)	0.9587	states/eV per atom
total moment	0.0	μB per cell
symmetry	R-3m
calculated volume	133.3	Å³ per cell
theoretical density	5.10	g cm⁻³
E_form	-372	meV/atom

***

Q: What is the total moment in the ninth record?
A: 0.0 μB per cell

***

Q: Which value of theoretical density does entry 9 give?
A: 5.53 g cm⁻³